This record from the Alexandria database describes crystalline Er4Tm5Th2 at its relaxed geometry. The functional is PBE.

```
data_Er4Tm5Th2
_chemical_formula_sum 'Er4 Tm5 Th2'
_space_group_name_H-M_alt 'P 1'
_space_group_IT_number 1
_cell_length_a 3.461
_cell_length_b 7.527
_cell_length_c 14.506
_cell_angle_alpha 105.04
_cell_angle_beta 96.85
_cell_angle_gamma 90.00
loop_
_space_group_symop_operation_xyz
'x,y,z'
loop_
_atom_site_label
_atom_site_fract_x
_atom_site_fract_y
_atom_site_fract_z
_atom_site_occupancy
Er1 0.000 0.319 0.000 1
Er2 0.604 0.604 0.207 1
Er3 0.000 0.681 0.000 1
Er4 0.396 0.396 0.793 1
Tm1 0.804 0.061 0.607 1
Tm2 0.804 0.546 0.607 1
Tm3 0.196 0.454 0.393 1
Tm4 0.196 0.939 0.393 1
Tm5 0.500 0.000 0.000 1
Th1 0.898 0.898 0.796 1
Th2 0.102 0.102 0.204 1
```

The calculation puts the energy above the most stable polymorph in this dataset at 0.377 eV per atom. As for the total moment: 0.000 μB per formula unit. For the density of states at the Fermi level, the calculation gives 1.7052 states/eV/atom. The calculated volume is 32.93 A^3/atom. As for the space-group type: Immm (71). For the formation energy, the calculation gives 0.429 eV per atom.